Entry 1:
DFT (PBE-GGA) results for crystalline TaZn4Tc at its relaxed geometry.

Cell lengths 4.9399, 4.9399, 4.9399 Å; angles 60.00, 60.00, 60.00 degrees
Positions (direct):
1 Ta 0.0000 0.0000 0.0000
2 Zn 0.1255 0.6248 0.6248
3 Zn 0.6248 0.1255 0.6248
4 Zn 0.6248 0.6248 0.1255
5 Zn 0.6248 0.6248 0.6248
6 Tc 0.2500 0.2500 0.2500

Computed properties:
Magnetic moment (μB per cell): 0.000
Total DFT energy (no corrections) (eV for the cell shown): -27.80

***

Entry 2:
DFT (PBE-GGA) results for crystalline TaZn2Tc at its relaxed geometry.

Cell lengths 3.9215, 3.9215, 7.8949 Å; angles 90.00, 90.00, 90.00 degrees
Positions (direct):
1 Ta 0.0000 0.0000 0.0000
2 Ta 0.5000 0.5000 0.5000
3 Zn 0.0000 0.0000 0.5000
4 Zn 0.0000 0.5000 0.2500
5 Zn 0.5000 0.0000 0.7500
6 Zn 0.5000 0.5000 0.0000
7 Tc 0.0000 0.5000 0.7500
8 Tc 0.5000 0.0000 0.2500

Computed properties:
Magnetic moment (μB per cell): 0.000
Total DFT energy (no corrections) (eV for the cell shown): -49.40

***

Entry 3:
DFT (PBE-GGA) results for crystalline TaZn2Tc at its relaxed geometry.

Cell lengths 2.7798, 2.7798, 8.0079 Å; angles 90.00, 90.00, 90.00 degrees
Positions (direct):
1 Ta 0.0000 0.0000 0.0000
2 Zn 0.0000 0.0000 0.5076
3 Zn 0.5000 0.5000 0.7411
4 Tc 0.5000 0.5000 0.2700

Computed properties:
Magnetic moment (μB per cell): 0.458
Total DFT energy (no corrections) (eV for the cell shown): -24.24

***

Entry 4:
DFT (PBE-GGA) results for crystalline Ta2ZnTc at its relaxed geometry.

Cell lengths 2.9483, 2.9483, 26.8497 Å; angles 90.00, 90.00, 120.00 degrees
Positions (direct):
1 Ta 0.0000 0.0000 0.2467
2 Ta 0.0000 0.0000 0.7533
3 Ta 0.3333 0.6667 0.4200
4 Ta 0.3333 0.6667 0.9134
5 Ta 0.6667 0.3333 0.0866
6 Ta 0.6667 0.3333 0.5800
7 Zn 0.0000 0.0000 0.0000
8 Zn 0.3333 0.6667 0.6667
9 Zn 0.6667 0.3333 0.3333
10 Tc 0.0000 0.0000 0.5000
11 Tc 0.3333 0.6667 0.1667
12 Tc 0.6667 0.3333 0.8333

Computed properties:
Magnetic moment (μB per cell): 0.000
Total DFT energy (no corrections) (eV for the cell shown): -104.59

***

Entry 5:
DFT (PBE-GGA) results for crystalline TaZnTc2 at its relaxed geometry.

Cell lengths 7.0224, 7.0224, 5.4026 Å; angles 90.00, 90.00, 90.00 degrees
Positions (direct):
1 Ta 0.0000 0.0000 0.0000
2 Ta 0.0000 0.5000 0.2500
3 Ta 0.5000 0.0000 0.7500
4 Ta 0.5000 0.5000 0.5000
5 Zn 0.0000 0.0000 0.5000
6 Zn 0.0000 0.5000 0.7500
7 Zn 0.5000 0.0000 0.2500
8 Zn 0.5000 0.5000 0.0000
9 Tc 0.2468 0.2500 0.1250
10 Tc 0.2500 0.7468 0.3750
11 Tc 0.2500 0.7532 0.8750
12 Tc 0.2532 0.2500 0.6250
13 Tc 0.7468 0.7500 0.6250
14 Tc 0.7500 0.2468 0.8750
15 Tc 0.7500 0.2532 0.3750
16 Tc 0.7532 0.7500 0.1250

Computed properties:
Magnetic moment (μB per cell): 0.000
Total DFT energy (no corrections) (eV for the cell shown): -125.22

***

Entry 6:
DFT (PBE-GGA) results for crystalline Ta2Zn2Tc at its relaxed geometry.

Cell lengths 6.7262, 6.7262, 3.4568 Å; angles 90.00, 90.00, 90.00 degrees
Positions (direct):
1 Ta 0.1770 0.3230 0.0000
2 Ta 0.3230 0.8230 0.0000
3 Ta 0.6770 0.1770 0.0000
4 Ta 0.8230 0.6770 0.0000
5 Zn 0.1251 0.6251 0.5000
6 Zn 0.3749 0.1251 0.5000
7 Zn 0.6251 0.8749 0.5000
8 Zn 0.8749 0.3749 0.5000
9 Tc 0.0000 0.0000 0.5000
10 Tc 0.5000 0.5000 0.5000

Computed properties:
Magnetic moment (μB per cell): 0.000
Total DFT energy (no corrections) (eV for the cell shown): -72.81